Record 1
Below is an optimized crystal structure of TbGa2Pd4, with properties calculated at the PBE-GGA level.

The structure belongs to space group Pnma (No. 62); the cell edges are 16.6666, 4.3006 and 6.6584 Å and the angles 90.00°, 90.00° and 90.00°. The inequivalent atoms are Tb at (0.1396, 0.2500, 0.0873), Ga at (0.0612, 0.7500, 0.7401), Ga at (0.2038, 0.2500, 0.6337), Pd at (0.0245, 0.7500, 0.1363), Pd at (0.0593, 0.2500, 0.4880), Pd at (0.1711, 0.7500, 0.4032) and Pd at (0.2112, 0.7500, 0.8294).

Its mass density is 10077 kg/m³. As for the magnetic moment: 0.0000 μB/atom. The polymorph energy (0 for the lowest one) is 0 meV per atom.


Record 2
Below is an optimized crystal structure of TbGa4Ag2, with properties calculated at the PBE-GGA level.

The structure belongs to space group Cmmm (No. 65); the cell edges are 3.7210, 22.8659 and 3.2686 Å and the angles 90.00°, 90.00° and 90.00°. The inequivalent atoms are Tb at (0.0000, 0.0000, 0.0000), Ga at (0.0000, 0.1461, 0.0000), Ga at (0.0000, 0.4169, 0.5000) and Ag at (0.0000, 0.2957, 0.5000).

Its mass density is 7805 kg/m³. As for the magnetic moment: 0.0000 μB/atom. For the energy, the calculation gives -46.5 eV per cell.